Entry 1:
The following is a PBE calculation of a relaxed ScReB2 crystal, from OQMD via LeMat-Bulk.

CIF file:
```
data_ScReB2
_chemical_formula_sum 'Sc4 Re4 B8'
_space_group_name_H-M_alt 'F -4 3 m'
_space_group_IT_number 216
_space_group_name_Hall 'F -4 2 3'
_cell_length_a 5.7413
_cell_length_b 5.7413
_cell_length_c 5.7413
_cell_angle_alpha 90.00
_cell_angle_beta 90.00
_cell_angle_gamma 90.00
loop_
_atom_site_label
_atom_site_type_symbol
_atom_site_fract_x
_atom_site_fract_y
_atom_site_fract_z
_atom_site_occupancy
Sc1 Sc 0.0000 0.0000 0.0000 1
Re1 Re 0.2500 0.2500 0.7500 1
B1 B 0.0000 0.0000 0.5000 1
B2 B 0.2500 0.2500 0.2500 1
```

Results
total magnetic moment = 0.001 μB/f.u.
uncorrected energy = -110.2 eV for the cell shown



Entry 2:
The following is a PBE calculation of a relaxed AcCuPt crystal, from OQMD via LeMat-Bulk.

CIF file:
```
data_AcCuPt
_chemical_formula_sum 'Ac4 Cu4 Pt4'
_space_group_name_H-M_alt 'F -4 3 m'
_space_group_IT_number 216
_space_group_name_Hall 'F -4 2 3'
_cell_length_a 6.8170
_cell_length_b 6.8170
_cell_length_c 6.8170
_cell_angle_alpha 90.00
_cell_angle_beta 90.00
_cell_angle_gamma 90.00
loop_
_atom_site_label
_atom_site_type_symbol
_atom_site_fract_x
_atom_site_fract_y
_atom_site_fract_z
_atom_site_occupancy
Ac1 Ac 0.0000 0.0000 0.0000 1
Cu1 Cu 0.0000 0.0000 0.5000 1
Pt1 Pt 0.2500 0.2500 0.2500 1
```

Results
formation enthalpy at 0 K = -0.496 eV/atom
total magnetic moment = 0.003 μB/f.u.
uncorrected energy = -61.5 eV for the cell shown